Entry 1:
{
  "formula": "B2MoBr",
  "functional": "PBE",
  "state": "optimized geometry",
  "vol_a3_per_cell": 139,
  "polymorph_energy_mev_per_atom": 0,
  "lattice_angstrom": [[5.350, 0.000, 0.000], [0.000, 5.350, 0.000], [2.675, 2.675, 4.847]],
  "species": ["B", "Br", "B", "Br", "B", "B", "Mo", "Mo"],
  "fractional_positions": [[0.077, 0.625, 0.250], [0.500, 0.500, 0.000], [0.875, 0.923, 0.750], [0.250, 0.750, 0.500], [0.375, 0.327, 0.750], [0.673, 0.125, 0.250], [0.750, 0.250, 0.500], [0.000, 0.000, 0.000]]
}

Entry 2:
{
  "formula": "LiGaS2",
  "functional": "PBE",
  "state": "optimized geometry",
  "vol_a3_per_cell": 150,
  "lattice_angstrom": [[-6.931, -1.085, 0.336], [-0.147, -1.202, -6.918], [-3.052, -4.096, -2.788]],
  "species": ["S", "Ga", "Li", "Li", "S", "Ga", "S", "S"],
  "fractional_positions": [[0.176, 0.676, 0.000], [0.250, 0.750, 0.500], [0.750, 0.750, 0.500], [0.250, 0.250, 0.500], [0.676, 0.824, 0.000], [0.750, 0.250, 0.500], [0.824, 0.324, 0.000], [0.324, 0.176, 0.000]]
}

Record order is preserved below.
Theoretical density: 4727 3124 kg/m3
Record order is preserved below.
E_form (uncorrected): 1.28 -0.85 eV/atom
Record order is preserved below.
Total energy: -5.183 -4.151 eV/atom